Ni2Mo2Pt | PBE-GGA | optimized geometry

```
Ni2Mo2Pt
1.0
7.0856 0.0000 0.0000
0.0000 7.0856 0.0000
0.0000 0.0000 2.7571
Ni Mo Pt
4 4 2
direct
0.1217 0.3783 0.0000
0.3783 0.8783 0.0000
0.6217 0.1217 0.0000
0.8783 0.6217 0.0000
0.1739 0.6739 0.5000
0.3261 0.1739 0.5000
0.6739 0.8261 0.5000
0.8261 0.3261 0.5000
0.0000 0.0000 0.0000
0.5000 0.5000 0.0000
```

Results
Its density of states at the Fermi level is 7.422 states/eV per cell. Its symmetry is P4/mbm, No. 127. The energy above the lowest structure with this stoichiometry comes out at 112 meV/atom. The crystal system is tetragonal. The density is 12.101 Mg/m³. The value obtained for the formation energy is -2.0 kJ per mole of atoms.